A geometry-optimized Tb2NdEu structure. Source: Alexandria via LeMat-Bulk, functional PBE.

Summary:
- energy above the lowest structure with this stoichiometry (meV/atom) = 0
- final energy (eV/cell) = -24.1

```
4
Lattice="-2.7825 -0.3347 -2.3650 1.6733 -2.8641 -1.5635 -4.8072 -6.3898 6.5601" Properties=species:S:1:pos:R:3 pbc="T T T"
Eu -2.9582 -4.7943 1.3158
Tb -3.6624 -4.8680 4.9978
Tb -1.1449 -1.5218 1.5624
Nd -0.5546 -1.5994 -1.9642
```